(1)
An optimized crystal structure of Li3Ac2Ge4Ir. Source: Alexandria, functional PBE-GGA.

The value obtained for the uncorrected energy is -0.173 Ha/atom. The density of states at the Fermi level is 2.0 states/eV per cell.

The structure belongs to space group P-4m2 (No. 115); the cell edges are 4.4213, 4.4213 and 10.4675 Å and the angles 90.00°, 90.00° and 90.00°. The asymmetric unit holds Li at (0.0000, 0.0000, 0.0000), Li at (0.0000, 0.5000, 0.6292), Ac at (0.0000, 0.5000, 0.2464), Ge at (0.0000, 0.0000, 0.5000), Ge at (0.0000, 0.5000, 0.8830), Ge at (0.5000, 0.5000, 0.5000) and Ir at (0.5000, 0.5000, 0.0000).

---

(2)
An optimized crystal structure of Dy3Er4Ru4. Source: Alexandria, functional PBE-GGA.

The value obtained for the uncorrected energy is -0.244 Ha/atom. The density of states at the Fermi level is 9.5 states/eV per cell.

The structure belongs to space group Immm (No. 71); the cell edges are 3.5219, 8.8427 and 16.1461 Å and the angles 90.00°, 90.00° and 90.00°. The asymmetric unit holds Dy at (0.0000, 0.0000, 0.0000), Dy at (0.0000, 0.5000, 0.0980), Er at (0.0000, 0.3094, 0.3348), Ru at (0.0000, 0.0000, 0.2571) and Ru at (0.0000, 0.2248, 0.5000).

---

(3)
An optimized crystal structure of SiBF. Source: Alexandria, functional PBE-GGA.

As for the raw formation energy: -17.47 kcal/mol of atoms. The value obtained for the uncorrected energy is -0.199 Ha/atom. Its distance to the lowest polymorph of the same formula is 90 meV per atom.

The structure belongs to space group P1 (No. 1); the cell edges are 3.7172, 4.7435 and 4.9636 Å and the angles 96.92°, 107.41° and 104.71°. The asymmetric unit holds Si at (0.0000, 0.0000, 0.0000), Si at (0.2948, 0.1384, 0.5155), B at (0.1302, 0.6427, 0.8252), B at (0.9048, 0.2662, 0.7169), F at (0.2015, 0.7357, 0.5364) and F at (0.5636, 0.7169, 0.0290).

---

- Among the records above, which one has the lowest uncorrected energy?
  Dy3Er4Ru4

---

- What is the formula in the third record?
  SiBF

---

- What is the formula in the first record?
  Li3Ac2Ge4Ir